## A
Tm3Ga4Ru2, optimized geometry, DFT PBE-GGA; M_tot = 0.00 μB/cell
1.0
5.151 -2.181 0.000
5.151 2.181 0.000
-2.690 0.000 7.851
Tm Ga Ru
3 4 2
direct
0.000 0.000 0.000
0.364 0.364 0.310
0.636 0.636 0.690
0.087 0.087 0.400
0.282 0.282 0.929
0.718 0.718 0.071
0.913 0.913 0.600
0.318 0.318 0.646
0.682 0.682 0.354

***

## B
Tm3Ga4Ru2, optimized geometry, DFT PBE-GGA; M_tot = 0.00 μB/cell
1.0
5.089 -2.170 0.000
5.089 2.170 0.000
-2.131 0.000 7.950
Tm Ga Ru
3 4 2
direct
0.000 0.000 0.000
0.381 0.381 0.622
0.619 0.619 0.378
0.095 0.095 0.649
0.302 0.302 0.942
0.698 0.698 0.058
0.905 0.905 0.351
0.283 0.283 0.244
0.717 0.717 0.756

***

Stability ranking, top and bottom: A is the most stable and B is the least stable.

***

## A
Tm4Ga3Ru, optimized geometry, DFT PBE-GGA; M_tot = 0.00 μB/cell
1.0
3.462 0.000 0.000
0.000 3.462 0.000
0.000 0.000 14.146
Tm Ga Ru
4 3 1
direct
0.000 0.000 0.114
0.000 0.000 0.371
0.000 0.000 0.629
0.000 0.000 0.886
0.500 0.500 0.244
0.500 0.500 0.500
0.500 0.500 0.756
0.500 0.500 0.000

***

## B
Tm4Ga3Ru, optimized geometry, DFT PBE-GGA; M_tot = 0.00 μB/cell
1.0
3.846 0.000 0.000
0.000 4.289 0.000
0.000 0.000 10.760
Tm Ga Ru
4 3 1
direct
0.000 0.000 0.000
0.000 0.500 0.271
0.500 0.000 0.470
0.500 0.500 0.783
0.000 0.000 0.708
0.000 0.500 0.557
0.500 0.500 0.059
0.500 0.000 0.202

***

Stability ranking, top and bottom: A is the most stable and B is the least stable.

***

## A
TmGa4Ru, optimized geometry, DFT PBE-GGA; M_tot = 0.00 μB/cell
1.0
7.274 0.000 0.000
0.000 7.274 0.000
0.000 0.000 5.138
Tm Ga Ru
2 8 2
direct
0.250 0.750 0.250
0.750 0.250 0.750
0.081 0.250 0.248
0.250 0.081 0.748
0.250 0.419 0.748
0.419 0.250 0.248
0.581 0.750 0.752
0.750 0.581 0.252
0.750 0.919 0.252
0.919 0.750 0.752
0.250 0.750 0.750
0.750 0.250 0.250

***

## B
TmGa4Ru, optimized geometry, DFT PBE-GGA; M_tot = 0.00 μB/cell
1.0
7.837 0.000 0.000
0.000 4.021 0.000
0.000 0.000 6.828
Tm Ga Ru
2 8 2
direct
0.250 0.000 0.122
0.750 0.000 0.878
0.000 0.000 0.500
0.061 0.500 0.821
0.250 0.500 0.445
0.439 0.500 0.821
0.500 0.000 0.500
0.561 0.500 0.179
0.750 0.500 0.555
0.939 0.500 0.179
0.250 0.000 0.700
0.750 0.000 0.300

***

Stability ranking, top and bottom: B is the most stable and A is the least stable.